*P*
# Pd3PbAu2, optimized geometry, DFT PBE
data_Pd3PbAu2
_symmetry_space_group_name_H-M 'C m m m'
_symmetry_Int_Tables_number 65
_symmetry_space_group_name_Hall '-C 2 2'
_cell_length_a 4.350
_cell_length_b 13.187
_cell_length_c 7.443
_cell_angle_alpha 90.00
_cell_angle_beta 90.00
_cell_angle_gamma 90.00
loop_
_atom_site_label
_atom_site_fract_x
_atom_site_fract_y
_atom_site_fract_z
_atom_site_occupancy
Pd1 0.000 0.000 0.236 1
Pd2 0.000 0.333 0.248 1
Pb1 0.000 0.156 0.500 1
Au1 0.000 0.168 0.000 1
Au2 0.000 0.500 0.000 1
Au3 0.000 0.500 0.500 1
# crystal system = orthorhombic

---

*Q*
# Pd3PbAu2, optimized geometry, DFT PBE
data_Pd3PbAu2
_symmetry_space_group_name_H-M 'C m c m'
_symmetry_Int_Tables_number 63
_symmetry_space_group_name_Hall '-C 2c 2'
_cell_length_a 8.283
_cell_length_b 9.842
_cell_length_c 5.473
_cell_angle_alpha 90.00
_cell_angle_beta 90.00
_cell_angle_gamma 90.00
loop_
_atom_site_label
_atom_site_fract_x
_atom_site_fract_y
_atom_site_fract_z
_atom_site_occupancy
Pd1 0.000 0.004 0.250 1
Pd2 0.169 0.249 0.250 1
Pb1 0.000 0.273 0.750 1
Au1 0.200 0.500 0.000 1
# crystal system = orthorhombic

---

Q: Which of them is the most stable? A: *P*.

---

*P*
# PmPbAu4, optimized geometry, DFT PBE
data_PmPbAu4
_symmetry_space_group_name_H-M 'F -4 3 m'
_symmetry_Int_Tables_number 216
_symmetry_space_group_name_Hall 'F -4 2 3'
_cell_length_a 8.077
_cell_length_b 8.077
_cell_length_c 8.077
_cell_angle_alpha 90.00
_cell_angle_beta 90.00
_cell_angle_gamma 90.00
loop_
_atom_site_label
_atom_site_fract_x
_atom_site_fract_y
_atom_site_fract_z
_atom_site_occupancy
Pm1 0.000 0.000 0.000 1
Pb1 0.250 0.250 0.750 1
Au1 0.125 0.125 0.375 1
# crystal system = cubic

---

*Q*
# PmPbAu4, optimized geometry, DFT PBE
data_PmPbAu4
_symmetry_space_group_name_H-M 'P 6/m m m'
_symmetry_Int_Tables_number 191
_symmetry_space_group_name_Hall '-P 6 2'
_cell_length_a 4.8608
_cell_length_b 4.8608
_cell_length_c 6.6311
_cell_angle_alpha 90.00
_cell_angle_beta 90.00
_cell_angle_gamma 120.00
loop_
_atom_site_label
_atom_site_fract_x
_atom_site_fract_y
_atom_site_fract_z
_atom_site_occupancy
Pm1 0.0000 0.0000 0.0000 1
Pb1 0.0000 0.0000 0.5000 1
Au1 0.3333 0.6667 0.2432 1
# crystal system = hexagonal

---

Q: Which of them is the most stable? A: *Q*.

---

*P*
# PmPbAu, optimized geometry, DFT PBE
data_PmPbAu
_symmetry_space_group_name_H-M 'P 3 m 1'
_symmetry_Int_Tables_number 156
_symmetry_space_group_name_Hall 'P 3 -2"'
_cell_length_a 4.9118
_cell_length_b 4.9118
_cell_length_c 3.7075
_cell_angle_alpha 90.00
_cell_angle_beta 90.00
_cell_angle_gamma 120.00
loop_
_atom_site_label
_atom_site_fract_x
_atom_site_fract_y
_atom_site_fract_z
_atom_site_occupancy
Pm1 0.0000 0.0000 0.0000 1
Pb1 0.6667 0.3333 0.5341 1
Au1 0.3333 0.6667 0.4503 1
# crystal system = trigonal

---

*Q*
# PmPbAu, optimized geometry, DFT PBE
data_PmPbAu
_symmetry_space_group_name_H-M 'F -4 3 m'
_symmetry_Int_Tables_number 216
_symmetry_space_group_name_Hall 'F -4 2 3'
_cell_length_a 6.949
_cell_length_b 6.949
_cell_length_c 6.949
_cell_angle_alpha 90.00
_cell_angle_beta 90.00
_cell_angle_gamma 90.00
loop_
_atom_site_label
_atom_site_fract_x
_atom_site_fract_y
_atom_site_fract_z
_atom_site_occupancy
Pm1 0.000 0.000 0.000 1
Pb1 0.000 0.000 0.500 1
Au1 0.250 0.250 0.750 1
# crystal system = cubic

---

*R*
# PmPbAu, optimized geometry, DFT PBE
data_PmPbAu
_symmetry_space_group_name_H-M 'P 63/m m c'
_symmetry_Int_Tables_number 194
_symmetry_space_group_name_Hall '-P 6c 2c'
_cell_length_a 5.2259
_cell_length_b 5.2259
_cell_length_c 6.5721
_cell_angle_alpha 90.00
_cell_angle_beta 90.00
_cell_angle_gamma 120.00
loop_
_atom_site_label
_atom_site_fract_x
_atom_site_fract_y
_atom_site_fract_z
_atom_site_occupancy
Pm1 0.3333 0.6667 0.2500 1
Pb1 0.0000 0.0000 0.0000 1
Au1 0.3333 0.6667 0.7500 1
# crystal system = hexagonal

---

*S*
# PmPbAu, optimized geometry, DFT PBE
data_PmPbAu
_symmetry_space_group_name_H-M 'P -1'
_symmetry_Int_Tables_number 2
_symmetry_space_group_name_Hall '-P 1'
_cell_length_a 3.635
_cell_length_b 6.431
_cell_length_c 7.486
_cell_angle_alpha 108.08
_cell_angle_beta 90.35
_cell_angle_gamma 105.86
loop_
_atom_site_label
_atom_site_fract_x
_atom_site_fract_y
_atom_site_fract_z
_atom_site_occupancy
Pm1 0.025 0.051 0.252 1
Pb1 0.315 0.623 0.352 1
Au1 0.354 0.703 0.965 1
# crystal system = triclinic

---

Q: Which of them is the most stable? A: *Q*.

---

*P*
# PrPb2Au, optimized geometry, DFT PBE
data_PrPb2Au
_symmetry_space_group_name_H-M 'R -3 m'
_symmetry_Int_Tables_number 166
_symmetry_space_group_name_Hall '-R 3 2"'
_cell_length_a 3.6235
_cell_length_b 3.6235
_cell_length_c 32.3115
_cell_angle_alpha 90.00
_cell_angle_beta 90.00
_cell_angle_gamma 120.00
loop_
_atom_site_label
_atom_site_fract_x
_atom_site_fract_y
_atom_site_fract_z
_atom_site_occupancy
Pr1 0.0000 0.0000 0.0000 1
Pb1 0.0000 0.0000 0.1011 1
Au1 0.0000 0.0000 0.5000 1
# crystal system = trigonal

---

*Q*
# PrPb2Au, optimized geometry, DFT PBE
data_PrPb2Au
_symmetry_space_group_name_H-M 'P 4/m m m'
_symmetry_Int_Tables_number 123
_symmetry_space_group_name_Hall '-P 4 2'
_cell_length_a 4.796
_cell_length_b 4.796
_cell_length_c 4.686
_cell_angle_alpha 90.00
_cell_angle_beta 90.00
_cell_angle_gamma 90.00
loop_
_atom_site_label
_atom_site_fract_x
_atom_site_fract_y
_atom_site_fract_z
_atom_site_occupancy
Pr1 0.000 0.000 0.000 1
Pb1 0.000 0.500 0.500 1
Au1 0.500 0.500 0.000 1
# crystal system = tetragonal

---

Q: Which of them is the most stable? A: *Q*.

---

*P*
# Pt2Pb2Au, optimized geometry, DFT PBE
data_Pt2Pb2Au
_symmetry_space_group_name_H-M 'I 4/m m m'
_symmetry_Int_Tables_number 139
_symmetry_space_group_name_Hall '-I 4 2'
_cell_length_a 3.861
_cell_length_b 3.861
_cell_length_c 15.718
_cell_angle_alpha 90.00
_cell_angle_beta 90.00
_cell_angle_gamma 90.00
loop_
_atom_site_label
_atom_site_fract_x
_atom_site_fract_y
_atom_site_fract_z
_atom_site_occupancy
Pt1 0.000 0.500 0.250 1
Pb1 0.000 0.000 0.113 1
Au1 0.000 0.000 0.500 1
# crystal system = tetragonal

---

*Q*
# Pt2Pb2Au, optimized geometry, DFT PBE
data_Pt2Pb2Au
_symmetry_space_group_name_H-M 'P 4/m b m'
_symmetry_Int_Tables_number 127
_symmetry_space_group_name_Hall '-P 4 2ab'
_cell_length_a 8.076
_cell_length_b 8.076
_cell_length_c 3.352
_cell_angle_alpha 90.00
_cell_angle_beta 90.00
_cell_angle_gamma 90.00
loop_
_atom_site_label
_atom_site_fract_x
_atom_site_fract_y
_atom_site_fract_z
_atom_site_occupancy
Pt1 0.125 0.375 0.000 1
Pb1 0.169 0.669 0.500 1
Au1 0.000 0.000 0.500 1
# crystal system = tetragonal

---

*R*
# Pt2Pb2Au, optimized geometry, DFT PBE
data_Pt2Pb2Au
_symmetry_space_group_name_H-M 'P 4/m b m'
_symmetry_Int_Tables_number 127
_symmetry_space_group_name_Hall '-P 4 2ab'
_cell_length_a 7.399
_cell_length_b 7.399
_cell_length_c 3.928
_cell_angle_alpha 90.00
_cell_angle_beta 90.00
_cell_angle_gamma 90.00
loop_
_atom_site_label
_atom_site_fract_x
_atom_site_fract_y
_atom_site_fract_z
_atom_site_occupancy
Pt1 0.137 0.363 0.000 1
Pb1 0.166 0.666 0.500 1
Au1 0.000 0.000 0.000 1
# crystal system = tetragonal

---

*S*
# Pt2Pb2Au, optimized geometry, DFT PBE
data_Pt2Pb2Au
_symmetry_space_group_name_H-M 'I 4/m m m'
_symmetry_Int_Tables_number 139
_symmetry_space_group_name_Hall '-I 4 2'
_cell_length_a 4.621
_cell_length_b 4.621
_cell_length_c 11.452
_cell_angle_alpha 90.00
_cell_angle_beta 90.00
_cell_angle_gamma 90.00
loop_
_atom_site_label
_atom_site_fract_x
_atom_site_fract_y
_atom_site_fract_z
_atom_site_occupancy
Pt1 0.000 0.000 0.112 1
Pb1 0.000 0.500 0.250 1
Au1 0.000 0.000 0.500 1
# crystal system = tetragonal

---

Q: Which of them is the most stable? A: *R*.

---

*P*
# PtPbAu3, optimized geometry, DFT PBE
data_PtPbAu3
_symmetry_space_group_name_H-M 'P m -3 m'
_symmetry_Int_Tables_number 221
_symmetry_space_group_name_Hall '-P 4 2 3'
_cell_length_a 5.207
_cell_length_b 5.207
_cell_length_c 5.207
_cell_angle_alpha 90.00
_cell_angle_beta 90.00
_cell_angle_gamma 90.00
loop_
_atom_site_label
_atom_site_fract_x
_atom_site_fract_y
_atom_site_fract_z
_atom_site_occupancy
Pt1 0.000 0.000 0.000 1
Pb1 0.500 0.500 0.500 1
Au1 0.000 0.500 0.500 1
# crystal system = cubic

---

*Q*
# PtPbAu3, optimized geometry, DFT PBE
data_PtPbAu3
_symmetry_space_group_name_H-M 'P m -3 m'
_symmetry_Int_Tables_number 221
_symmetry_space_group_name_Hall '-P 4 2 3'
_cell_length_a 5.101
_cell_length_b 5.101
_cell_length_c 5.101
_cell_angle_alpha 90.00
_cell_angle_beta 90.00
_cell_angle_gamma 90.00
loop_
_atom_site_label
_atom_site_fract_x
_atom_site_fract_y
_atom_site_fract_z
_atom_site_occupancy
Pt1 0.000 0.000 0.000 1
Pb1 0.500 0.500 0.500 1
Au1 0.000 0.000 0.500 1
# crystal system = cubic

---

Q: Which of them is the most stable? A: *Q*.

---

*P*
# Pt2PbAu2, optimized geometry, DFT PBE
data_Pt2PbAu2
_symmetry_space_group_name_H-M 'P 4/m b m'
_symmetry_Int_Tables_number 127
_symmetry_space_group_name_Hall '-P 4 2ab'
_cell_length_a 7.234
_cell_length_b 7.234
_cell_length_c 3.732
_cell_angle_alpha 90.00
_cell_angle_beta 90.00
_cell_angle_gamma 90.00
loop_
_atom_site_label
_atom_site_fract_x
_atom_site_fract_y
_atom_site_fract_z
_atom_site_occupancy
Pt1 0.135 0.365 0.000 1
Pb1 0.000 0.000 0.000 1
Au1 0.161 0.661 0.500 1
# crystal system = tetragonal

---

*Q*
# Pt2PbAu2, optimized geometry, DFT PBE
data_Pt2PbAu2
_symmetry_space_group_name_H-M 'I 4/m m m'
_symmetry_Int_Tables_number 139
_symmetry_space_group_name_Hall '-I 4 2'
_cell_length_a 3.950
_cell_length_b 3.950
_cell_length_c 13.206
_cell_angle_alpha 90.00
_cell_angle_beta 90.00
_cell_angle_gamma 90.00
loop_
_atom_site_label
_atom_site_fract_x
_atom_site_fract_y
_atom_site_fract_z
_atom_site_occupancy
Pt1 0.000 0.000 0.099 1
Pb1 0.000 0.000 0.500 1
Au1 0.000 0.500 0.250 1
# crystal system = tetragonal

---

Q: Which of them is the most stable? A: *P*.

---

*P*
# Pt3PbAu, optimized geometry, DFT PBE
data_Pt3PbAu
_symmetry_space_group_name_H-M 'P m -3 m'
_symmetry_Int_Tables_number 221
_symmetry_space_group_name_Hall '-P 4 2 3'
_cell_length_a 4.999
_cell_length_b 4.999
_cell_length_c 4.999
_cell_angle_alpha 90.00
_cell_angle_beta 90.00
_cell_angle_gamma 90.00
loop_
_atom_site_label
_atom_site_fract_x
_atom_site_fract_y
_atom_site_fract_z
_atom_site_occupancy
Pt1 0.000 0.000 0.500 1
Pb1 0.500 0.500 0.500 1
Au1 0.000 0.000 0.000 1
# crystal system = cubic

---

*Q*
# Pt3PbAu, optimized geometry, DFT PBE
data_Pt3PbAu
_symmetry_space_group_name_H-M 'P m -3 m'
_symmetry_Int_Tables_number 221
_symmetry_space_group_name_Hall '-P 4 2 3'
_cell_length_a 5.041
_cell_length_b 5.041
_cell_length_c 5.041
_cell_angle_alpha 90.00
_cell_angle_beta 90.00
_cell_angle_gamma 90.00
loop_
_atom_site_label
_atom_site_fract_x
_atom_site_fract_y
_atom_site_fract_z
_atom_site_occupancy
Pt1 0.000 0.000 0.500 1
Pb1 0.000 0.000 0.000 1
Au1 0.500 0.500 0.500 1
# crystal system = cubic

---

Q: Which of them is the most stable? A: *P*.